Record 1
# CsCeReO6, optimized geometry, DFT GGA-PBE
data_CsCeReO6
_symmetry_space_group_name_H-M 'P 1'
_symmetry_Int_Tables_number 1
_symmetry_space_group_name_Hall 'P 1'
_cell_length_a 5.693
_cell_length_b 5.693
_cell_length_c 6.555
_cell_angle_alpha 90.00
_cell_angle_beta 90.00
_cell_angle_gamma 120.00
loop_
_atom_site_label
_atom_site_type_symbol
_atom_site_fract_x
_atom_site_fract_y
_atom_site_fract_z
Cs1 Cs 0.000 0.000 0.000
Ce1 Ce 0.333 0.667 0.500
Re1 Re 0.667 0.333 0.500
O1 O 0.413 0.044 0.668
O2 O 0.413 0.369 0.332
O3 O 0.631 0.044 0.332
O4 O 0.631 0.587 0.668
O5 O 0.956 0.369 0.668
O6 O 0.956 0.587 0.332
# **E_tot**: -0.2820 hartree per atom

***

Record 2
# CsCeRuO6, optimized geometry, DFT GGA-PBE
data_CsCeRuO6
_symmetry_space_group_name_H-M 'P 1'
_symmetry_Int_Tables_number 1
_symmetry_space_group_name_Hall 'P 1'
_cell_length_a 5.643
_cell_length_b 5.643
_cell_length_c 6.608
_cell_angle_alpha 90.00
_cell_angle_beta 90.00
_cell_angle_gamma 120.00
loop_
_atom_site_label
_atom_site_type_symbol
_atom_site_fract_x
_atom_site_fract_y
_atom_site_fract_z
Cs1 Cs 0.000 0.000 0.000
Ce1 Ce 0.333 0.667 0.500
Ru1 Ru 0.667 0.333 0.500
O1 O 0.405 0.041 0.666
O2 O 0.405 0.364 0.334
O3 O 0.636 0.041 0.334
O4 O 0.636 0.595 0.666
O5 O 0.959 0.364 0.666
O6 O 0.959 0.595 0.334
# **E_tot**: -0.2498 hartree per atom

***

no.,ΔE_f (raw) (eV/atom)
1,-2.230
2,-1.707